A plane-wave DFT calculation with PBEsol was carried out for a geometry-optimized P2C structure.

Computed properties:
Energy relative to the elements = 1.766 eV/atom
Symmetry = P6/mmm, No. 191
Crystal system = hexagonal

Cell and atoms, written as POSCAR:
```
P2C
1.0
3.976 0.000 0.000
-1.988 3.444 0.000
0.000 0.000 2.406
P C
2 1
direct
0.333 0.667 0.000
0.667 0.333 0.000
0.000 0.000 0.500
```